1) Density functional theory data (PBE-GGA) for a relaxed structure of CaTbNi.

Properties
SG = No. 63

abc: 10.8131 10.8131 4.0484
angles: 90.00 90.00 159.84
Atoms (fractional coordinates):
Ca: 0.1852 0.8148 0.7500
Ca: 0.8148 0.1852 0.2500
Tb: 0.4324 0.5676 0.7500
Tb: 0.5676 0.4324 0.2500
Ni: 0.0364 0.9636 0.7500
Ni: 0.9636 0.0364 0.2500


2) Density functional theory data (PBE-GGA) for a relaxed structure of CaTbNi.

Properties
SG = No. 12

abc: 9.9944 9.9944 7.6114
angles: 93.84 93.84 27.03
Atoms (fractional coordinates):
Ca: 0.0660 0.0660 0.3191
Ca: 0.4086 0.4086 0.1462
Ca: 0.5914 0.5914 0.8538
Ca: 0.9340 0.9340 0.6809
Tb: 0.2102 0.2102 0.6130
Tb: 0.2176 0.2176 0.1190
Tb: 0.7824 0.7824 0.8810
Tb: 0.7898 0.7898 0.3870
Ni: 0.3402 0.3402 0.7953
Ni: 0.3446 0.3446 0.4906
Ni: 0.6554 0.6554 0.5094
Ni: 0.6598 0.6598 0.2047


Relative energies, unit kJ/mol of atoms: 1) 0.0; 2) 16.8


1) Density functional theory data (PBE-GGA) for a relaxed structure of CaTc2Ni.

Properties
SG = No. 12

abc: 5.4830 5.4830 2.6424
angles: 98.84 98.84 122.60
Atoms (fractional coordinates):
Ca: 0.0000 0.0000 0.0000
Tc: 0.0000 0.5000 0.5000
Tc: 0.5000 0.0000 0.5000
Ni: 0.5000 0.5000 0.0000


2) Density functional theory data (PBE-GGA) for a relaxed structure of CaTc2Ni.

Properties
SG = No. 10

abc: 3.0700 4.7785 4.6184
angles: 90.00 100.21 90.00
Atoms (fractional coordinates):
Ca: 0.0000 0.0000 0.0000
Tc: 0.3349 0.5000 0.7239
Tc: 0.6651 0.5000 0.2761
Ni: 0.5000 0.0000 0.5000


3) Density functional theory data (PBE-GGA) for a relaxed structure of CaTc2Ni.

Properties
SG = No. 216

abc: 4.4658 4.4658 4.4658
angles: 60.00 60.00 60.00
Atoms (fractional coordinates):
Ca: 0.0000 0.0000 0.0000
Tc: 0.2500 0.2500 0.2500
Tc: 0.5000 0.5000 0.5000
Ni: 0.7500 0.7500 0.7500


Relative energies, unit kJ/mol of atoms: 1) 8.1; 2) 4.4; 3) 0.0


1) Density functional theory data (PBE-GGA) for a relaxed structure of Ca2TcNi.

Properties
SG = No. 160

abc: 7.8704 7.8704 7.8704
angles: 30.17 30.17 30.17
Atoms (fractional coordinates):
Ca: 0.0000 0.0000 0.0000
Ca: 0.1756 0.1756 0.1756
Tc: 0.4198 0.4198 0.4198
Ni: 0.7567 0.7567 0.7567


2) Density functional theory data (PBE-GGA) for a relaxed structure of Ca2TcNi.

Properties
SG = No. 12

abc: 4.8335 4.8335 6.0128
angles: 96.93 96.93 34.91
Atoms (fractional coordinates):
Ca: 0.2455 0.2455 0.2487
Ca: 0.7545 0.7545 0.7513
Tc: 0.0000 0.0000 0.5000
Ni: 0.5000 0.5000 0.0000


3) Density functional theory data (PBE-GGA) for a relaxed structure of Ca2TcNi.

Properties
SG = No. 122

abc: 6.2177 6.2177 6.2177
angles: 102.14 102.14 125.42
Atoms (fractional coordinates):
Ca: 0.0890 0.1250 0.4640
Ca: 0.3750 0.9110 0.0360
Ca: 0.6610 0.6250 0.5360
Ca: 0.8750 0.3390 0.9640
Tc: 0.2500 0.7500 0.5000
Tc: 0.5000 0.5000 0.0000
Ni: 0.0000 0.0000 0.0000
Ni: 0.7500 0.2500 0.5000


Relative energies, unit kJ/mol of atoms: 1) 0.0; 2) 46.2; 3) 56.0


1) Density functional theory data (PBE-GGA) for a relaxed structure of Ca2TcNi.

Properties
SG = No. 38

abc: 4.1351 5.6466 5.6466
angles: 46.35 90.00 90.00
Atoms (fractional coordinates):
Ca: 0.0000 0.0000 0.0000
Ca: 0.5000 0.2920 0.2920
Tc: 0.5000 0.5996 0.5996
Ni: 0.0000 0.6940 0.6940


2) Density functional theory data (PBE-GGA) for a relaxed structure of Ca2TcNi.

Properties
SG = No. 123

abc: 4.9821 4.9821 3.3894
angles: 90.00 90.00 90.00
Atoms (fractional coordinates):
Ca: 0.0000 0.5000 0.0000
Ca: 0.5000 0.0000 0.0000
Tc: 0.0000 0.0000 0.5000
Ni: 0.5000 0.5000 0.5000


Relative energies, unit kJ/mol of atoms: 1) 0.0; 2) 27.6


1) Density functional theory data (PBE-GGA) for a relaxed structure of Ca3TcNi.

Properties
SG = No. 221

abc: 5.2866 5.2866 5.2866
angles: 90.00 90.00 90.00
Atoms (fractional coordinates):
Ca: 0.0000 0.0000 0.5000
Ca: 0.0000 0.5000 0.0000
Ca: 0.5000 0.0000 0.0000
Tc: 0.0000 0.0000 0.0000
Ni: 0.5000 0.5000 0.5000


2) Density functional theory data (PBE-GGA) for a relaxed structure of Ca3TcNi.

Properties
SG = No. 221

abc: 5.2836 5.2836 5.2836
angles: 90.00 90.00 90.00
Atoms (fractional coordinates):
Ca: 0.0000 0.0000 0.5000
Ca: 0.0000 0.5000 0.0000
Ca: 0.5000 0.0000 0.0000
Tc: 0.5000 0.5000 0.5000
Ni: 0.0000 0.0000 0.0000


Relative energies, unit kJ/mol of atoms: 1) 19.6; 2) 0.0


1) Density functional theory data (PBE-GGA) for a relaxed structure of CaNi2Te2.

Properties
SG = No. 139

abc: 7.0489 7.0489 7.0489
angles: 146.26 146.26 48.46
Atoms (fractional coordinates):
Ca: 0.0000 0.0000 0.0000
Ni: 0.2500 0.7500 0.5000
Ni: 0.7500 0.2500 0.5000
Te: 0.3670 0.3670 0.0000
Te: 0.6330 0.6330 0.0000


2) Density functional theory data (PBE-GGA) for a relaxed structure of CaNi2Te2.

Properties
SG = No. 139

abc: 5.6031 5.6031 5.6031
angles: 127.92 127.92 76.75
Atoms (fractional coordinates):
Ca: 0.0000 0.0000 0.0000
Ni: 0.3539 0.3539 0.0000
Ni: 0.6461 0.6461 0.0000
Te: 0.2500 0.7500 0.5000
Te: 0.7500 0.2500 0.5000


Relative energies, unit kJ/mol of atoms: 1) 0.0; 2) 12.9


1) Density functional theory data (PBE-GGA) for a relaxed structure of CaNi3Te.

Properties
SG = No. 221

abc: 4.6159 4.6159 4.6159
angles: 90.00 90.00 90.00
Atoms (fractional coordinates):
Ca: 0.0000 0.0000 0.0000
Ni: 0.0000 0.0000 0.5000
Ni: 0.0000 0.5000 0.0000
Ni: 0.5000 0.0000 0.0000
Te: 0.5000 0.5000 0.5000


2) Density functional theory data (PBE-GGA) for a relaxed structure of CaNi3Te.

Properties
SG = No. 221

abc: 4.6929 4.6929 4.6929
angles: 90.00 90.00 90.00
Atoms (fractional coordinates):
Ca: 0.0000 0.0000 0.0000
Ni: 0.0000 0.5000 0.5000
Ni: 0.5000 0.0000 0.5000
Ni: 0.5000 0.5000 0.0000
Te: 0.5000 0.5000 0.5000


Relative energies, unit kJ/mol of atoms: 1) 103.6; 2) 0.0


1) Density functional theory data (PBE-GGA) for a relaxed structure of CaNiTe3.

Properties
SG = No. 221

abc: 5.1411 5.1411 5.1411
angles: 90.00 90.00 90.00
Atoms (fractional coordinates):
Ca: 0.0000 0.0000 0.0000
Ni: 0.5000 0.5000 0.5000
Te: 0.0000 0.5000 0.5000
Te: 0.5000 0.0000 0.5000
Te: 0.5000 0.5000 0.0000


2) Density functional theory data (PBE-GGA) for a relaxed structure of CaNiTe3.

Properties
SG = No. 221

abc: 5.7027 5.7027 5.7027
angles: 90.00 90.00 90.00
Atoms (fractional coordinates):
Ca: 0.0000 0.0000 0.0000
Ni: 0.5000 0.5000 0.5000
Te: 0.0000 0.0000 0.5000
Te: 0.0000 0.5000 0.0000
Te: 0.5000 0.0000 0.0000


Relative energies, unit kJ/mol of atoms: 1) 0.0; 2) 104.5